1.
# In12Sb3Au5 | the Alexandria database | GGA-PBE | optimized geometry
# **E_form (uncorrected)**: -1.43 kJ/mol of atoms
# **Volume**: 2465.27 Å³ per cell
# **N(E_F)**: 0.5932 states/eV/atom
# **Energy**: -3.10 eV/atom
# **ρ**: 7.35 g/cm³
data_In12Sb3Au5
_chemical_formula_sum 'In48 Sb12 Au20'
_cell_length_a 14.740
_cell_length_b 14.740
_cell_length_c 14.740
_cell_angle_alpha 109.47
_cell_angle_beta 109.47
_cell_angle_gamma 109.47
_symmetry_space_group_name_H-M 'P 1'
_symmetry_Int_Tables_number 1
loop_
_symmetry_equiv_pos_as_xyz
'x,y,z'
loop_
_atom_site_label
_atom_site_fract_x
_atom_site_fract_y
_atom_site_fract_z
Sb1 0.750 0.375 0.125
Sb2 0.875 0.750 0.125
Sb3 0.375 0.750 0.625
Sb4 0.250 0.125 0.375
Sb5 0.875 0.125 0.250
Sb6 0.375 0.625 0.250
Sb7 0.625 0.375 0.750
Sb8 0.125 0.875 0.750
Sb9 0.750 0.875 0.625
Sb10 0.625 0.250 0.375
Sb11 0.125 0.250 0.875
Sb12 0.250 0.625 0.875
Au1 0.125 0.375 0.250
Au2 0.000 0.500 0.000
Au3 0.000 0.000 0.000
Au4 0.375 0.250 0.125
Au5 0.500 0.000 0.500
Au6 0.500 0.500 0.000
Au7 0.125 0.750 0.375
Au8 0.750 0.125 0.875
Au9 0.750 0.625 0.375
Au10 0.375 0.125 0.750
Au11 0.625 0.875 0.250
Au12 0.500 0.500 0.500
Au13 0.500 0.000 0.000
Au14 0.000 0.000 0.500
Au15 0.250 0.375 0.625
Au16 0.250 0.875 0.125
Au17 0.000 0.500 0.500
Au18 0.875 0.250 0.625
Au19 0.625 0.750 0.875
Au20 0.875 0.625 0.750
In1 0.716 0.125 0.045
In2 0.329 0.545 0.420
In3 0.955 0.375 0.284
In4 0.545 0.216 0.125
In5 0.591 0.716 0.671
In6 0.955 0.580 0.171
In7 0.329 0.784 0.409
In8 0.080 0.909 0.125
In9 0.580 0.955 0.671
In10 0.716 0.591 0.171
In11 0.784 0.455 0.375
In12 0.829 0.920 0.045
In13 0.125 0.716 0.545
In14 0.375 0.420 0.091
In15 0.091 0.920 0.375
In16 0.409 0.125 0.580
In17 0.091 0.171 0.216
In18 0.455 0.671 0.080
In19 0.829 0.909 0.284
In20 0.125 0.409 0.080
In21 0.375 0.955 0.784
In22 0.580 0.625 0.409
In23 0.920 0.829 0.545
In24 0.784 0.329 0.909
In25 0.420 0.375 0.591
In26 0.080 0.171 0.455
In27 0.216 0.671 0.091
In28 0.171 0.091 0.716
In29 0.625 0.045 0.216
In30 0.875 0.591 0.920
In31 0.545 0.329 0.920
In32 0.591 0.875 0.420
In33 0.909 0.829 0.784
In34 0.909 0.080 0.625
In35 0.875 0.284 0.455
In36 0.171 0.080 0.955
In37 0.625 0.580 0.909
In38 0.420 0.045 0.329
In39 0.284 0.409 0.829
In40 0.216 0.545 0.625
In41 0.920 0.091 0.875
In42 0.671 0.216 0.591
In43 0.455 0.784 0.875
In44 0.045 0.420 0.829
In45 0.409 0.284 0.329
In46 0.045 0.625 0.716
In47 0.671 0.455 0.580
In48 0.284 0.875 0.955

=====

2.
# Hf6PtRh | the Alexandria database | GGA-PBE | optimized geometry
# **Energy of formation**: -0.06 eV per atom
# **Volume**: 172.68 Å³ per cell
# **N(E_F)**: 1.3143 states/eV/atom
# **Energy**: -9.20 eV/atom
# **ρ**: 13.16 g/cm³
data_Hf6PtRh
_chemical_formula_sum 'Hf6 Pt1 Rh1'
_cell_length_a 6.032
_cell_length_b 6.037
_cell_length_c 6.240
_cell_angle_alpha 61.07
_cell_angle_beta 76.11
_cell_angle_gamma 60.25
_symmetry_space_group_name_H-M 'P 1'
_symmetry_Int_Tables_number 1
loop_
_symmetry_equiv_pos_as_xyz
'x,y,z'
loop_
_atom_site_label
_atom_site_fract_x
_atom_site_fract_y
_atom_site_fract_z
Hf1 0.752 0.457 0.582
Hf2 0.752 0.039 0.418
Hf3 0.248 0.961 0.582
Hf4 0.248 0.543 0.418
Hf5 0.754 0.754 0.000
Hf6 0.246 0.246 0.000
Pt1 0.500 0.500 0.000
Rh1 0.000 0.000 0.000

=====

3.
# Er3PaTl3Te8 | the Alexandria database | GGA-PBE | optimized geometry
# **E_form (uncorrected)**: -95.39 kJ/mol of atoms
# **Volume**: 553.63 Å³ per cell
# **N(E_F)**: 0.2916 states/eV/atom
# **Energy**: -4.68 eV/atom
# **ρ**: 7.10 g/cm³
data_Er3PaTl3Te8
_chemical_formula_sum 'Er3 Pa1 Tl3 Te8'
_cell_length_a 8.798
_cell_length_b 8.797
_cell_length_c 9.698
_cell_angle_alpha 116.99
_cell_angle_beta 90.00
_cell_angle_gamma 120.01
_symmetry_space_group_name_H-M 'P 1'
_symmetry_Int_Tables_number 1
loop_
_symmetry_equiv_pos_as_xyz
'x,y,z'
loop_
_atom_site_label
_atom_site_fract_x
_atom_site_fract_y
_atom_site_fract_z
Er1 0.500 0.000 0.500
Er2 0.500 0.500 0.500
Er3 0.000 0.500 0.500
Pa1 0.000 0.000 0.500
Tl1 0.000 0.000 0.000
Tl2 0.000 0.500 0.000
Tl3 0.500 0.500 0.000
Te1 0.263 0.526 0.289
Te2 0.737 0.474 0.711
Te3 0.761 0.522 0.288
Te4 0.239 0.478 0.712
Te5 0.761 0.027 0.288
Te6 0.239 0.973 0.712
Te7 0.266 0.027 0.288
Te8 0.734 0.973 0.712

=====

4.
# HfSiTe2C | the Alexandria database | GGA-PBE | optimized geometry
# **E_form (uncorrected)**: 74.38 kJ/mol of atoms
# **Volume**: 106.71 Å³ per cell
# **N(E_F)**: 0.5374 states/eV/atom
# **Energy**: -5.41 eV/atom
# **ρ**: 7.37 g/cm³
data_HfSiTe2C
_chemical_formula_sum 'Hf1 Si1 Te2 C1'
_cell_length_a 4.945
_cell_length_b 4.364
_cell_length_c 4.945
_cell_angle_alpha 90.00
_cell_angle_beta 90.00
_cell_angle_gamma 90.00
_symmetry_space_group_name_H-M 'P 1'
_symmetry_Int_Tables_number 1
loop_
_symmetry_equiv_pos_as_xyz
'x,y,z'
loop_
_atom_site_label
_atom_site_fract_x
_atom_site_fract_y
_atom_site_fract_z
Si1 0.500 0.500 0.500
Te1 0.000 0.000 0.500
Te2 0.500 0.000 0.000
Hf1 0.000 0.500 0.000
C1 0.000 0.000 0.000